VASP calculation (PBEsol) on an optimized crystal structure of Cd2OsW.

## Properties
Calculated formation energy: 264 kJ/mol of formula units
Energy above the most stable polymorph in this dataset: 279 meV per atom

Lattice parameters (Å, degrees): 5.5307 5.5307 2.7371 100.11 100.11 121.21
Fractional positions:
Cd 0.0000 0.5000 0.0000
Cd 0.5000 0.0000 0.0000
Os 0.0000 0.0000 0.5000
W 0.5000 0.5000 0.5000

=====

VASP calculation (PBEsol) on an optimized crystal structure of CdOs2W.

## Properties
Calculated formation energy: 327 kJ/mol of formula units

Lattice parameters (Å, degrees): 4.4434 4.4434 4.4434 60.00 60.00 60.00
Fractional positions:
Cd 0.0000 0.0000 0.0000
Os 0.5000 0.5000 0.5000
Os 0.7500 0.7500 0.7500
W 0.2500 0.2500 0.2500

=====

VASP calculation (PBEsol) on an optimized crystal structure of YCdOs2.

## Properties
Calculated formation energy: 219 kJ/mol of formula units

Lattice parameters (Å, degrees): 2.8446 2.8446 9.2183 90.00 90.00 112.47
Fractional positions:
Y 0.0000 0.0000 0.0000
Cd 0.0000 0.0000 0.5000
Os 0.5000 0.5000 0.2482
Os 0.5000 0.5000 0.7518

=====

VASP calculation (PBEsol) on an optimized crystal structure of Y2CdOs.

## Properties
Calculated formation energy: 54 kJ/mol of formula units

Lattice parameters (Å, degrees): 3.3675 3.3675 8.1673 90.00 90.00 90.00
Fractional positions:
Y 0.0000 0.0000 0.0000
Y 0.5000 0.5000 0.3685
Cd 0.0000 0.0000 0.6195
Os 0.5000 0.5000 0.8072

=====

VASP calculation (PBEsol) on an optimized crystal structure of Y2CdOs.

## Properties
Calculated formation energy: -115 kJ/mol of formula units

Lattice parameters (Å, degrees): 3.4098 3.4098 7.6227 90.00 90.00 90.00
Fractional positions:
Y 0.0000 0.0000 0.2141
Y 0.0000 0.0000 0.7859
Cd 0.5000 0.5000 0.5000
Os 0.5000 0.5000 0.0000

=====

VASP calculation (PBEsol) on an optimized crystal structure of YCdOs2.

## Properties
Calculated formation energy: 208 kJ/mol of formula units

Lattice parameters (Å, degrees): 4.9136 4.9136 3.0759 90.00 90.00 109.07
Fractional positions:
Y 0.0000 0.0000 0.0000
Cd 0.5000 0.5000 0.0000
Os 0.0000 0.5000 0.5000
Os 0.5000 0.0000 0.5000